Entry from the Alexandria database: a geometry-optimized CsSm2Br2F5 structure (PBE).

Properties
Fermi-level density of states: 0.0 states/eV/cell
Magnetic moment: 0.0 μB/f.u.
Energy: -5.449 eV per atom

Cell and atoms, written as CIF:
```
data_CsSm2Br2F5
_cell_length_a 10.535
_cell_length_b 10.535
_cell_length_c 3.608
_cell_angle_alpha 90.00
_cell_angle_beta 90.00
_cell_angle_gamma 90.00
_symmetry_space_group_name_H-M 'P 4/m b m'
_symmetry_Int_Tables_number 127
_symmetry_space_group_name_Hall '-P 4 2ab'
loop_
_atom_site_label
_atom_site_type_symbol
_atom_site_fract_x
_atom_site_fract_y
_atom_site_fract_z
Cs1 Cs 0.000 0.000 0.000
Sm1 Sm 0.125 0.375 0.000
Br1 Br 0.168 0.668 0.000
F1 F 0.000 0.500 0.500
F2 F 0.079 0.243 0.500
```